Er12Tl5Pb2: optimized geometry, PBE.

Cell lengths 16.919, 7.083, 10.070 Å; angles 90.00, 98.47, 90.00 degrees
Space group C2/m (No. 12)
Symmetry-distinct sites (fractional):
Er1 0.011 0.000 0.297 x4
Er2 0.100 0.500 0.810 x4
Er3 0.147 0.240 0.547 x8
Er4 0.179 0.248 0.104 x8
Tl1 0.000 0.500 0.500 x2
Tl2 0.169 0.000 0.820 x4
Tl3 0.215 0.000 0.343 x4
Pb1 0.000 0.244 0.000 x4

Results
energy: -3.966 eV/atom
DOS at the Fermi energy: 37.05 states/eV/cell